DFT (PBE-GGA) results for a geometry-optimized BBrF structure.

The structure belongs to space group P1 (No. 1); the cell edges are 4.705, 4.707 and 6.155 Å and the angles 96.34°, 104.99° and 105.64°. The inequivalent atoms are B at (0.000, 0.000, 0.000), B at (0.141, 0.759, 0.850), Br at (0.578, 0.769, 0.086), Br at (0.853, 0.281, 0.764), F at (0.178, 0.177, 0.203) and F at (0.183, 0.802, 0.646).

For the excess energy over the best structure of this formula in the dataset, the calculation gives 0.085 eV/atom. The raw formation energy comes out at -1.241 eV/atom. Its magnetic moment is 0.00 μB per cell. The calculation puts the density at 2.93 g/cm3.